# MnBSCl2 | Alexandria | PBE-GGA | optimized geometry
# DOS(E_F): 1.3 states/eV per cell
# Calculated volume: 104.8 Å³/f.u.
# VASP energy: -21.0 eV/cell
# Distance to the lowest polymorph of the same formula: 0.854 eV per formula unit
# ΔE_f (raw): 2.70 eV per formula unit
data_MnBSCl2
_chemical_formula_sum 'Mn1 B1 S1 Cl2'
_cell_length_a 4.7168
_cell_length_b 4.7168
_cell_length_c 4.7086
_cell_angle_alpha 90.00
_cell_angle_beta 90.00
_cell_angle_gamma 90.00
_space_group_name_H-M_alt 'P 4/m m m'
_space_group_IT_number 123
_space_group_name_Hall '-P 4 2'
loop_
_atom_site_label
_atom_site_type_symbol
_atom_site_fract_x
_atom_site_fract_y
_atom_site_fract_z
Mn1 Mn 0.0000 0.0000 0.0000
B1 B 0.5000 0.5000 0.5000
S1 S 0.0000 0.0000 0.5000
Cl1 Cl 0.0000 0.5000 0.0000



# ReAgIN2 | Alexandria | PBE-GGA | optimized geometry
# DOS(E_F): 3.1 states/eV per cell
# Calculated volume: 91.1 Å³/f.u.
# VASP energy: -30.4 eV/cell
# Distance to the lowest polymorph of the same formula: 0.000 eV per formula unit
# ΔE_f (raw): 3.10 eV per formula unit
data_ReAgIN2
_chemical_formula_sum 'Re1 Ag1 I1 N2'
_cell_length_a 3.9193
_cell_length_b 3.9193
_cell_length_c 5.9278
_cell_angle_alpha 90.00
_cell_angle_beta 90.00
_cell_angle_gamma 90.00
_space_group_name_H-M_alt 'P 4/m m m'
_space_group_IT_number 123
_space_group_name_Hall '-P 4 2'
loop_
_atom_site_label
_atom_site_type_symbol
_atom_site_fract_x
_atom_site_fract_y
_atom_site_fract_z
Re1 Re 0.0000 0.0000 0.0000
Ag1 Ag 0.5000 0.5000 0.5000
I1 I 0.0000 0.0000 0.5000
N1 N 0.0000 0.5000 0.0000



Q: Which of these has the lowest calculated volume?
A: ReAgIN2



Q: Among the records above, which one has the lowest VASP energy?
A: ReAgIN2



Q: Which formula does entry 1 have?
A: MnBSCl2



Copy entry 1 word for word.
# MnBSCl2 | Alexandria | PBE-GGA | optimized geometry
# DOS(E_F): 1.3 states/eV per cell
# Calculated volume: 104.8 Å³/f.u.
# VASP energy: -21.0 eV/cell
# Distance to the lowest polymorph of the same formula: 0.854 eV per formula unit
# ΔE_f (raw): 2.70 eV per formula unit
data_MnBSCl2
_chemical_formula_sum 'Mn1 B1 S1 Cl2'
_cell_length_a 4.7168
_cell_length_b 4.7168
_cell_length_c 4.7086
_cell_angle_alpha 90.00
_cell_angle_beta 90.00
_cell_angle_gamma 90.00
_space_group_name_H-M_alt 'P 4/m m m'
_space_group_IT_number 123
_space_group_name_Hall '-P 4 2'
loop_
_atom_site_label
_atom_site_type_symbol
_atom_site_fract_x
_atom_site_fract_y
_atom_site_fract_z
Mn1 Mn 0.0000 0.0000 0.0000
B1 B 0.5000 0.5000 0.5000
S1 S 0.0000 0.0000 0.5000
Cl1 Cl 0.0000 0.5000 0.0000